one.
# HfTaNO3

A relaxed HfTaNO3 crystal (GGA-PBE, OQMD).

Calculated values
symmetry = Pmm2

a = 3.5088 Å, b = 3.5575 Å, c = 5.2280 Å
α = 90.00°, β = 90.00°, γ = 90.00°
Closest atoms and distances in Å follow each position.
Atoms (fractional coordinates):
Hf 0.0000 0.0000 0.0000  4 O 2.02-2.05
Ta 0.5000 0.5000 0.5210  2 N 1.99, 2 O 2.01
N 0.5000 0.0000 0.6925  2 Ta 1.99
O 0.0000 0.5000 0.3315  2 Ta 2.01
O 0.0000 0.5000 0.8168  2 Hf 2.02
O 0.5000 0.0000 0.2018  2 Hf 2.05

two.
# HfTaNO3

A relaxed HfTaNO3 crystal (GGA-PBE, OQMD).

Calculated values
symmetry = Pmn2_1

a = 3.2117 Å, b = 5.5389 Å, c = 6.4498 Å
α = 90.00°, β = 90.00°, γ = 90.00°
Closest atoms and distances in Å follow each position.
Atoms (fractional coordinates):
Hf 0.0000 0.0210 0.0000  5 O 2.08-2.19, 2 N 2.27
Hf 0.5000 0.9790 0.5000  5 O 2.08-2.19, 2 N 2.27
Ta 0.0000 0.4831 0.2680  6 O 2.13-2.19, 3 N 2.21-2.33
Ta 0.5000 0.5169 0.7680  6 O 2.13-2.19, 3 N 2.21-2.33
N 0.0000 0.6979 0.5576  3 Ta 2.21-2.33, 2 Hf 2.27
N 0.5000 0.3021 0.0576  3 Ta 2.21-2.33, 2 Hf 2.27
O 0.0000 0.0992 0.3151  3 Hf 2.08-2.11, 1 Ta 2.15
O 0.0000 0.2507 0.7360  1 Hf 2.13, 2 Ta 2.19
O 0.0000 0.6288 0.9631  3 Ta 2.13, 1 Hf 2.19
O 0.5000 0.3712 0.4631  3 Ta 2.13, 1 Hf 2.19
O 0.5000 0.7493 0.2360  1 Hf 2.13, 2 Ta 2.19
O 0.5000 0.9008 0.8151  3 Hf 2.08-2.11, 1 Ta 2.15

Going by the computed energies, the most stable comes first: one, two.

one.
# TbHfNO

A relaxed TbHfNO crystal (GGA-PBE, OQMD).

Calculated values
symmetry = Pmc2_1

a = 4.1658 Å, b = 5.9545 Å, c = 4.8106 Å
α = 90.00°, β = 90.00°, γ = 90.00°
Closest atoms and distances in Å follow each position.
Atoms (fractional coordinates):
Tb 0.0000 0.1860 0.0000  2 O 2.36, 3 N 2.41-2.45
Tb 0.0000 0.8140 0.5000  2 O 2.36, 3 N 2.41-2.45
Hf 0.5000 0.2787 0.5095  2 O 2.10-2.28, 2 N 2.11
Hf 0.5000 0.7213 0.0095  2 O 2.10-2.28, 2 N 2.11
N 0.0000 0.2253 0.5020  2 Hf 2.11
N 0.0000 0.7747 0.0020  2 Hf 2.11
O 0.5000 0.3699 0.9692  2 Hf 2.10-2.28
O 0.5000 0.6301 0.4692  2 Hf 2.10-2.28

two.
# TbHfNO

A relaxed TbHfNO crystal (GGA-PBE, OQMD).

Calculated values
symmetry = Pbcm

a = 7.7803 Å, b = 6.5679 Å, c = 4.6591 Å
α = 90.00°, β = 90.00°, γ = 90.00°
Closest atoms and distances in Å follow each position.
Atoms (fractional coordinates):
Tb 0.1226 0.0535 0.2500  4 O 2.30-2.40, 1 N 2.34
Tb 0.1226 0.4465 0.7500  4 O 2.30-2.40, 1 N 2.34
Tb 0.8774 0.5535 0.2500  4 O 2.30-2.40, 1 N 2.34
Tb 0.8774 0.9465 0.7500  4 O 2.30-2.40, 1 N 2.34
Hf 0.3736 0.5952 0.2500  1 O 2.10, 4 N 2.11-2.34
Hf 0.3736 0.9048 0.7500  1 O 2.10, 4 N 2.11-2.34
Hf 0.6264 0.0952 0.2500  1 O 2.10, 4 N 2.11-2.34
Hf 0.6264 0.4048 0.7500  1 O 2.10, 4 N 2.11-2.34
N 0.4003 0.5812 0.7500  4 Hf 2.11-2.34, 1 Tb 2.34
N 0.4003 0.9188 0.2500  4 Hf 2.11-2.34, 1 Tb 2.34
N 0.5997 0.0812 0.7500  4 Hf 2.11-2.34, 1 Tb 2.34
N 0.5997 0.4188 0.2500  4 Hf 2.11-2.34, 1 Tb 2.34
O 0.1583 0.0985 0.7500  1 Hf 2.10, 1 Tb 2.30
O 0.1583 0.4015 0.2500  1 Hf 2.10, 1 Tb 2.30
O 0.8417 0.5985 0.7500  1 Hf 2.10, 1 Tb 2.30
O 0.8417 0.9015 0.2500  1 Hf 2.10, 1 Tb 2.30

Going by the computed energies, the most stable comes first: two, one.

one.
# TbHfNO

A relaxed TbHfNO crystal (GGA-PBE, OQMD).

Calculated values
symmetry = Pmma

a = 4.6657 Å, b = 3.8595 Å, c = 6.6549 Å
α = 90.00°, β = 90.00°, γ = 90.00°
Closest atoms and distances in Å follow each position.
Atoms (fractional coordinates):
Tb 0.2500 0.0000 0.1555  2 N 2.35, 3 O 2.36-2.43
Tb 0.7500 0.0000 0.8445  2 N 2.35, 3 O 2.36-2.43
Hf 0.2500 0.5000 0.6682  1 N 2.07, 2 O 2.09
Hf 0.7500 0.5000 0.3318  1 N 2.07, 2 O 2.09
N 0.2500 0.5000 0.3573  1 Hf 2.07
N 0.7500 0.5000 0.6427  1 Hf 2.07
O 0.2500 0.0000 0.7899  2 Hf 2.09
O 0.7500 0.0000 0.2101  2 Hf 2.09

two.
# TbHfNO

A relaxed TbHfNO crystal (GGA-PBE, OQMD).

Calculated values
symmetry = P4/nmm

a = 4.1689 Å, b = 4.1689 Å, c = 8.1735 Å
α = 90.00°, β = 90.00°, γ = 90.00°
Closest atoms and distances in Å follow each position.
Atoms (fractional coordinates):
Tb 0.2500 0.2500 0.1176  4 O 2.30
Tb 0.7500 0.7500 0.8824  4 O 2.30
Hf 0.2500 0.7500 0.5000  4 N 2.13
Hf 0.7500 0.2500 0.5000  4 N 2.13
N 0.2500 0.2500 0.5522  4 Hf 2.13
N 0.7500 0.7500 0.4478  4 Hf 2.13
O 0.2500 0.7500 0.0000  4 Tb 2.30
O 0.7500 0.2500 0.0000  4 Tb 2.30

Going by the computed energies, the most stable comes first: one, two.

one.
# HfTeNO

A relaxed HfTeNO crystal (GGA-PBE, OQMD).

Calculated values
symmetry = Pmc2_1

a = 3.2412 Å, b = 6.9384 Å, c = 6.8058 Å
α = 90.00°, β = 90.00°, γ = 90.00°
Closest atoms and distances in Å follow each position.
Atoms (fractional coordinates):
Hf 0.0000 0.1311 0.0000  2 O 1.96, 2 N 2.09-2.12
Hf 0.0000 0.8689 0.5000  2 O 1.96, 2 N 2.09-2.12
Te 0.5000 0.2534 0.4914  2 N 2.36
Te 0.5000 0.7466 0.9914  2 N 2.36
N 0.0000 0.1073 0.6937  2 Hf 2.09-2.12
N 0.0000 0.8927 0.1937  2 Hf 2.09-2.12
O 0.5000 0.2806 0.0512  2 Hf 1.96
O 0.5000 0.7194 0.5512  2 Hf 1.96

two.
# HfTeNO

A relaxed HfTeNO crystal (GGA-PBE, OQMD).

Calculated values
symmetry = P4/nmm

a = 4.2431 Å, b = 4.2431 Å, c = 7.3591 Å
α = 90.00°, β = 90.00°, γ = 90.00°
Closest atoms and distances in Å follow each position.
Atoms (fractional coordinates):
Hf 0.2500 0.7500 0.0000  4 N 2.16
Hf 0.7500 0.2500 0.0000  4 N 2.16
Te 0.2500 0.2500 0.3598  4 O 2.36
Te 0.7500 0.7500 0.6402  4 O 2.36
N 0.2500 0.2500 0.9441  4 Hf 2.16
N 0.7500 0.7500 0.0559  4 Hf 2.16
O 0.2500 0.7500 0.5000  4 Te 2.36
O 0.7500 0.2500 0.5000  4 Te 2.36

Going by the computed energies, the most stable comes first: one, two.

one.
# HfTeNO

A relaxed HfTeNO crystal (GGA-PBE, OQMD).

Calculated values
symmetry = P4/nmm

a = 4.1360 Å, b = 4.1360 Å, c = 8.7968 Å
α = 90.00°, β = 90.00°, γ = 90.00°
Closest atoms and distances in Å follow each position.
Atoms (fractional coordinates):
Hf 0.2500 0.2500 0.0778  1 N 1.87
Hf 0.7500 0.7500 0.9222  1 N 1.87
Te 0.2500 0.7500 0.5000  4 N 2.77, 4 Te 2.92
Te 0.7500 0.2500 0.5000  4 N 2.77, 4 Te 2.92
N 0.2500 0.2500 0.2905  1 Hf 1.87
N 0.7500 0.7500 0.7095  1 Hf 1.87
O 0.2500 0.7500 0.0000  4 Hf 2.18
O 0.7500 0.2500 0.0000  4 Hf 2.18

two.
# HfTeNO

A relaxed HfTeNO crystal (GGA-PBE, OQMD).

Calculated values
symmetry = Pca2_1

a = 6.6162 Å, b = 8.1611 Å, c = 5.9531 Å
α = 90.00°, β = 90.00°, γ = 90.00°
Closest atoms and distances in Å follow each position.
Atoms (fractional coordinates):
Hf 0.0988 0.0844 0.0000  1 O 1.96, 3 N 2.05-2.07
Hf 0.4012 0.0844 0.5000  1 O 1.96, 3 N 2.05-2.07
Hf 0.5988 0.9156 0.0000  1 O 1.96, 3 N 2.05-2.07
Hf 0.9012 0.9156 0.5000  1 O 1.96, 3 N 2.05-2.07
Te 0.2253 0.5185 0.5400  2 O 2.22-2.25
Te 0.2747 0.5185 0.0400  2 O 2.22-2.25
Te 0.7253 0.4815 0.5400  2 O 2.22-2.25
Te 0.7747 0.4815 0.0400  2 O 2.22-2.25
N 0.1371 0.0294 0.6634  3 Hf 2.05-2.07
N 0.3629 0.0294 0.1634  3 Hf 2.05-2.07
N 0.6371 0.9706 0.6634  3 Hf 2.05-2.07
N 0.8629 0.9706 0.1634  3 Hf 2.05-2.07
O 0.0426 0.3177 0.0419  1 Hf 1.96
O 0.4574 0.3177 0.5419  1 Hf 1.96
O 0.5426 0.6823 0.0419  1 Hf 1.96
O 0.9574 0.6823 0.5419  1 Hf 1.96

three.
# HfTeNO

A relaxed HfTeNO crystal (GGA-PBE, OQMD).

Calculated values
symmetry = Pmc2_1

a = 3.5819 Å, b = 7.6596 Å, c = 6.1548 Å
α = 90.00°, β = 90.00°, γ = 90.00°
Closest atoms and distances in Å follow each position.
Atoms (fractional coordinates):
Hf 0.0000 0.1424 0.0000  2 O 1.94, 2 N 2.06
Hf 0.0000 0.8576 0.5000  2 O 1.94, 2 N 2.06
Te 0.5000 0.4741 0.6976  1 N 2.18
Te 0.5000 0.5259 0.1976  1 N 2.18
N 0.5000 0.2676 0.9415  2 Hf 2.06, 1 Te 2.18
N 0.5000 0.7324 0.4415  2 Hf 2.06, 1 Te 2.18
O 0.0000 0.0489 0.2936  2 Hf 1.94
O 0.0000 0.9511 0.7936  2 Hf 1.94

Going by the computed energies, the most stable comes first: three, two, one.

one.
# HfTlNO

A relaxed HfTlNO crystal (GGA-PBE, OQMD).

Calculated values
symmetry = Pbcm

a = 8.1383 Å, b = 5.7700 Å, c = 5.7609 Å
α = 90.00°, β = 90.00°, γ = 90.00°
Closest atoms and distances in Å follow each position.
Atoms (fractional coordinates):
Hf 0.0877 0.0020 0.2500  1 O 1.93
Hf 0.0877 0.4980 0.7500  1 O 1.93
Hf 0.9123 0.5020 0.2500  1 O 1.93
Hf 0.9123 0.9980 0.7500  1 O 1.93
Tl 0.3632 0.0002 0.7500  2 O 2.54-2.84
Tl 0.3632 0.4998 0.2500  2 O 2.54-2.84
Tl 0.6368 0.9998 0.2500  2 O 2.54-2.84
Tl 0.6368 0.5002 0.7500  2 O 2.54-2.84
N 0.0025 0.7500 0.0000  4 Hf 2.16
N 0.0025 0.7500 0.5000  4 Hf 2.16
N 0.9975 0.2500 0.0000  4 Hf 2.16
N 0.9975 0.2500 0.5000  4 Hf 2.16
O 0.3244 0.0111 0.2500  1 Hf 1.93
O 0.3244 0.4889 0.7500  1 Hf 1.93
O 0.6756 0.5111 0.2500  1 Hf 1.93
O 0.6756 0.9889 0.7500  1 Hf 1.93

two.
# HfTlNO

A relaxed HfTlNO crystal (GGA-PBE, OQMD).

Calculated values
symmetry = Pmc2_1

a = 3.4224 Å, b = 6.9617 Å, c = 6.3917 Å
α = 90.00°, β = 90.00°, γ = 90.00°
Closest atoms and distances in Å follow each position.
Atoms (fractional coordinates):
Hf 0.0000 0.1630 0.0000  2 O 1.96-1.97, 2 N 2.04
Hf 0.0000 0.8370 0.5000  2 O 1.96-1.97, 2 N 2.04
Tl 0.5000 0.3313 0.5234  1 N 2.44
Tl 0.5000 0.6687 0.0234  1 N 2.44
N 0.5000 0.3211 0.9788  2 Hf 2.04
N 0.5000 0.6789 0.4788  2 Hf 2.04
O 0.0000 0.0185 0.2646  2 Hf 1.96-1.97
O 0.0000 0.9815 0.7646  2 Hf 1.96-1.97

three.
# HfTlNO

A relaxed HfTlNO crystal (GGA-PBE, OQMD).

Calculated values
symmetry = Pmc2_1

a = 3.5561 Å, b = 7.3761 Å, c = 5.9903 Å
α = 90.00°, β = 90.00°, γ = 90.00°
Closest atoms and distances in Å follow each position.
Atoms (fractional coordinates):
Hf 0.0000 0.1425 0.0000  2 N 2.00, 2 O 2.01
Hf 0.0000 0.8575 0.5000  2 N 2.00, 2 O 2.01
Tl 0.5000 0.3179 0.4667  2 N 2.59
Tl 0.5000 0.6821 0.9667  2 N 2.59
N 0.0000 0.0892 0.3270  2 Hf 2.00
N 0.0000 0.9108 0.8270  2 Hf 2.00
O 0.5000 0.2637 0.9475  2 Hf 2.01
O 0.5000 0.7363 0.4475  2 Hf 2.01

Going by the computed energies, the most stable comes first: one, three, two.

one.
# HfTlNO

A relaxed HfTlNO crystal (GGA-PBE, OQMD).

Calculated values
symmetry = P4/nmm

a = 4.2116 Å, b = 4.2116 Å, c = 8.7028 Å
α = 90.00°, β = 90.00°, γ = 90.00°
Closest atoms and distances in Å follow each position.
Atoms (fractional coordinates):
Hf 0.2500 0.2500 0.0846  1 N 1.84
Hf 0.7500 0.7500 0.9154  1 N 1.84
Tl 0.2500 0.7500 0.5000  4 N 2.76, 4 Tl 2.98
Tl 0.7500 0.2500 0.5000  4 N 2.76, 4 Tl 2.98
N 0.2500 0.2500 0.2956  1 Hf 1.84
N 0.7500 0.7500 0.7044  1 Hf 1.84
O 0.2500 0.7500 0.0000  4 Hf 2.23
O 0.7500 0.2500 0.0000  4 Hf 2.23

two.
# HfTlNO

A relaxed HfTlNO crystal (GGA-PBE, OQMD).

Calculated values
symmetry = P4/nmm

a = 4.1443 Å, b = 4.1443 Å, c = 7.6867 Å
α = 90.00°, β = 90.00°, γ = 90.00°
Closest atoms and distances in Å follow each position.
Atoms (fractional coordinates):
Hf 0.2500 0.7500 0.0000  4 N 2.15
Hf 0.7500 0.2500 0.0000  4 N 2.15
Tl 0.2500 0.2500 0.3612  4 O 2.33
Tl 0.7500 0.7500 0.6388  4 O 2.33
N 0.2500 0.2500 0.9270  4 Hf 2.15
N 0.7500 0.7500 0.0730  4 Hf 2.15
O 0.2500 0.7500 0.5000  4 Tl 2.33
O 0.7500 0.2500 0.5000  4 Tl 2.33

Going by the computed energies, the most stable comes first: one, two.

one.
# TmHfNO

A relaxed TmHfNO crystal (GGA-PBE, OQMD).

Calculated values
symmetry = Pbcm

a = 7.6927 Å, b = 6.4721 Å, c = 4.6073 Å
α = 90.00°, β = 90.00°, γ = 90.00°
Closest atoms and distances in Å follow each position.
Atoms (fractional coordinates):
Tm 0.1211 0.0550 0.2500  4 O 2.24-2.33, 1 N 2.27
Tm 0.1211 0.4450 0.7500  4 O 2.24-2.33, 1 N 2.27
Tm 0.8789 0.5550 0.2500  4 O 2.24-2.33, 1 N 2.27
Tm 0.8789 0.9450 0.7500  4 O 2.24-2.33, 1 N 2.27
Hf 0.3707 0.5955 0.2500  4 N 2.11-2.32, 1 O 2.11
Hf 0.3707 0.9045 0.7500  4 N 2.11-2.32, 1 O 2.11
Hf 0.6293 0.0955 0.2500  4 N 2.11-2.32, 1 O 2.11
Hf 0.6293 0.4045 0.7500  4 N 2.11-2.32, 1 O 2.11
N 0.3953 0.5750 0.7500  4 Hf 2.11-2.32, 1 Tm 2.27
N 0.3953 0.9250 0.2500  4 Hf 2.11-2.32, 1 Tm 2.27
N 0.6047 0.0750 0.7500  4 Hf 2.11-2.32, 1 Tm 2.27
N 0.6047 0.4250 0.2500  4 Hf 2.11-2.32, 1 Tm 2.27
O 0.1515 0.1015 0.7500  1 Hf 2.11, 4 Tm 2.24-2.33
O 0.1515 0.3985 0.2500  1 Hf 2.11, 4 Tm 2.24-2.33
O 0.8485 0.6015 0.7500  1 Hf 2.11, 4 Tm 2.24-2.33
O 0.8485 0.8985 0.2500  1 Hf 2.11, 4 Tm 2.24-2.33

two.
# TmHfNO

A relaxed TmHfNO crystal (GGA-PBE, OQMD).

Calculated values
symmetry = P4/nmm

a = 4.4160 Å, b = 4.4160 Å, c = 5.8682 Å
α = 90.00°, β = 90.00°, γ = 90.00°
Closest atoms and distances in Å follow each position.
Atoms (fractional coordinates):
Tm 0.2500 0.7500 0.0000  4 N 2.31
Tm 0.7500 0.2500 0.0000  4 N 2.31
Hf 0.2500 0.2500 0.4585  1 N 2.00, 4 O 2.22
Hf 0.7500 0.7500 0.5415  1 N 2.00, 4 O 2.22
N 0.2500 0.2500 0.1170  1 Hf 2.00
N 0.7500 0.7500 0.8830  1 Hf 2.00
O 0.2500 0.7500 0.5000  4 Hf 2.22
O 0.7500 0.2500 0.5000  4 Hf 2.22

Going by the computed energies, the most stable comes first: one, two.

one.
# TmHfNO

A relaxed TmHfNO crystal (GGA-PBE, OQMD).

Calculated values
symmetry = P4/nmm

a = 4.1203 Å, b = 4.1203 Å, c = 8.0198 Å
α = 90.00°, β = 90.00°, γ = 90.00°
Closest atoms and distances in Å follow each position.
Atoms (fractional coordinates):
Tm 0.2500 0.2500 0.1132  4 O 2.25
Tm 0.7500 0.7500 0.8868  4 O 2.25
Hf 0.2500 0.7500 0.5000  4 N 2.12
Hf 0.7500 0.2500 0.5000  4 N 2.12
N 0.2500 0.2500 0.5646  4 Hf 2.12
N 0.7500 0.7500 0.4354  4 Hf 2.12
O 0.2500 0.7500 0.0000  4 Tm 2.25
O 0.7500 0.2500 0.0000  4 Tm 2.25

two.
# TmHfNO

A relaxed TmHfNO crystal (GGA-PBE, OQMD).

Calculated values
symmetry = Pmc2_1

a = 3.5058 Å, b = 6.1134 Å, c = 5.8139 Å
α = 90.00°, β = 90.00°, γ = 90.00°
Closest atoms and distances in Å follow each position.
Atoms (fractional coordinates):
Tm 0.0000 0.1752 0.0000  2 O 2.18, 2 N 2.23-2.39
Tm 0.0000 0.8248 0.5000  2 O 2.18, 2 N 2.23-2.39
Hf 0.5000 0.3667 0.4537  2 N 2.11, 2 O 2.15-2.22
Hf 0.5000 0.6333 0.9537  2 N 2.11, 2 O 2.15-2.22
N 0.0000 0.1791 0.4108  2 Hf 2.11, 1 Tm 2.23
N 0.0000 0.8209 0.9108  2 Hf 2.11, 1 Tm 2.23
O 0.5000 0.2940 0.8152  2 Hf 2.15-2.22, 2 Tm 2.18
O 0.5000 0.7060 0.3152  2 Hf 2.15-2.22, 2 Tm 2.18

three.
# TmHfNO

A relaxed TmHfNO crystal (GGA-PBE, OQMD).

Calculated values
symmetry = Pmma

a = 4.6044 Å, b = 3.8190 Å, c = 6.5698 Å
α = 90.00°, β = 90.00°, γ = 90.00°
Closest atoms and distances in Å follow each position.
Atoms (fractional coordinates):
Tm 0.2500 0.0000 0.1574  2 N 2.30, 3 O 2.32-2.34
Tm 0.7500 0.0000 0.8426  2 N 2.30, 3 O 2.32-2.34
Hf 0.2500 0.5000 0.6700  3 N 2.08-2.31, 2 O 2.09
Hf 0.7500 0.5000 0.3300  3 N 2.08-2.31, 2 O 2.09
N 0.2500 0.5000 0.3534  3 Hf 2.08-2.31, 2 Tm 2.30
N 0.7500 0.5000 0.6466  3 Hf 2.08-2.31, 2 Tm 2.30
O 0.2500 0.0000 0.8007  2 Hf 2.09, 3 Tm 2.32-2.34
O 0.7500 0.0000 0.1993  2 Hf 2.09, 3 Tm 2.32-2.34

Going by the computed energies, the most stable comes first: three, one, two.